48
Lattice="-7.070 -1.694 -1.778 1.952 -7.223 -0.881 -2.084 -1.781 9.984" Properties=species:S:1:pos:R:3 comment="LiFeF4 | the Alexandria database | PBE+U | optimized geometry" volume_a3_per_fu=73 energy_ev_per_atom=-5.08 polymorph_energy_mev_per_atom=69 pbc="T T T"
F -1.317 -4.701 3.762
F -0.761 -2.569 5.474
F -1.661 -4.775 0.737
F -1.799 -2.378 -0.215
F -5.420 -2.469 8.153
F -1.891 -7.388 8.439
F -0.085 -0.283 0.609
F -3.848 -3.603 2.980
F -2.830 -2.029 7.848
F -5.474 -4.430 5.111
F -4.545 -3.036 -0.905
F -6.857 -5.890 6.681
F -5.715 -5.755 2.656
F -0.873 -7.397 0.072
F -0.312 -6.638 2.443
F -6.215 -8.423 7.352
F -4.465 -6.298 8.004
F -3.040 -6.787 2.800
F -5.083 -7.781 1.243
F -1.396 -8.684 4.021
F 0.297 -6.680 5.181
F -1.602 -2.140 2.780
F -4.887 -7.220 4.932
F -4.067 -9.323 3.349
F -2.169 -4.767 7.859
F -3.255 -7.967 -0.527
F -3.175 -3.879 5.690
F 0.782 -3.788 0.499
F -4.056 -5.349 0.135
F -2.361 -6.615 5.567
F -7.504 -3.149 6.673
F -6.146 -3.229 1.638
Li 0.555 -4.793 2.357
Li 1.389 -7.704 1.816
Li -4.080 -5.758 5.957
Li -1.128 -3.153 7.489
Li -3.341 -3.625 0.989
Li -4.838 -2.782 6.134
Li -2.554 -6.643 0.732
Li -0.009 -7.397 7.082
Fe -1.386 -6.705 3.990
Fe -3.861 -2.199 9.448
Fe -0.780 -4.046 -0.795
Fe -4.371 -4.907 -1.698
Fe -5.855 -3.904 3.343
Fe -2.306 -3.054 4.235
Fe -7.340 -3.033 8.573
Fe -4.907 -7.548 3.105